Cs2ZrAu: relaxed, PBE.

Cell: 9.758 9.758 9.758 Å, 94.48 94.48 147.56°
Each line ends with the local moment (μB).
Sites, in units of the cell vectors:
Cs1 0.625 0.970 0.845  0.02
Cs2 0.125 0.780 0.155  0.02
Cs3 0.030 0.875 0.655  0.02
Cs4 0.220 0.375 0.345  0.02
Zr1 0.500 0.500 0.000  1.28
Zr2 0.750 0.250 0.500  1.28
Au1 0.000 0.000 0.000  0.03
Au2 0.250 0.750 0.500  0.03

Summary:
Size of the total moment ... 5.25 μB per cell
DFT total energy ... -11.1 eV per formula unit
Symmetry ... No. 122
E_form ... 0.6115 eV/atom